Below is crystalline Fe3IF at its relaxed geometry, with properties calculated at the GGA+U level.

Cell: 4.9850 4.9850 4.9850 Å, 90.00 90.00 90.00°
Fractional coordinates of all 5 atoms:
Fe (0.0000, 0.0000, 0.5000)
Fe (0.0000, 0.5000, 0.0000)
Fe (0.5000, 0.0000, 0.0000)
I (0.0000, 0.0000, 0.0000)
F (0.5000, 0.5000, 0.5000)

Properties
DFT total energy = -2.57 eV per atom
Volume = 123.9 Å³/cell